# 1
A plane-wave DFT calculation with PBE was carried out for YAl2GaNi2 after structural relaxation.

Computed properties:
Energy of formation from the pure elements   -320 meV/atom
Calculated total energy   -5.077 eV/atom
Total moment   0.00 μB/f.u.

abc: 4.3643 4.3643 5.5578
angles: 90.00 90.00 90.00
Last column: nearest neighbours and their distance in Å.
Fractional positions:
Y (0.0000, 0.0000, 0.0000)  2 Ga 2.78
Al (0.5000, 0.5000, 0.2483)  4 Ni 2.59, 2 Al 2.76-2.80
Al (0.5000, 0.5000, 0.7517)  4 Ni 2.59, 2 Al 2.76-2.80
Ga (0.0000, 0.0000, 0.5000)  4 Ni 2.18
Ni (0.0000, 0.5000, 0.5000)  2 Ga 2.18
Ni (0.5000, 0.0000, 0.5000)  2 Ga 2.18

=====

# 2
A plane-wave DFT calculation with PBE was carried out for La4Pm2Y3 after structural relaxation.

Computed properties:
Energy of formation from the pure elements   20 meV/atom
Calculated total energy   -5.380 eV/atom
Total moment   0.00 μB/f.u.

abc: 6.3317 6.3320 9.7223
angles: 90.18 108.85 119.87
Last column: nearest neighbours and their distance in Å.
Fractional positions:
La (0.1121, 0.3908, 0.1655)  4 Pm 3.64-3.68, 3 La 3.65-3.68, 5 Y 3.65-3.68
La (0.3332, 0.1698, 0.5002)  5 La 3.63-3.69, 5 Y 3.64-3.69, 2 Pm 3.66-3.69
La (0.6668, 0.8302, 0.4998)  5 La 3.63-3.69, 5 Y 3.64-3.69, 2 Pm 3.66-3.69
La (0.8879, 0.6092, 0.8345)  4 Pm 3.64-3.68, 3 La 3.65-3.68, 5 Y 3.65-3.68
Pm (0.2240, 0.2789, 0.8342)  5 Y 3.64-3.68, 6 La 3.64-3.69, 1 Pm 3.66
Pm (0.7760, 0.7211, 0.1658)  5 Y 3.64-3.68, 6 La 3.64-3.69, 1 Pm 3.66
Y (0.0000, 0.5000, 0.5000)  8 La 3.64-3.68, 2 Y 3.67, 2 Pm 3.68
Y (0.4467, 0.0566, 0.1658)  2 Y 3.64-3.67, 4 Pm 3.64-3.68, 6 La 3.65-3.69
Y (0.5533, 0.9434, 0.8342)  2 Y 3.64-3.67, 4 Pm 3.64-3.68, 6 La 3.65-3.69

=====

# 3
A plane-wave DFT calculation with PBE was carried out for BaCd2RuPb after structural relaxation.

Computed properties:
Energy of formation from the pure elements   -94 meV/atom
Calculated total energy   -3.442 eV/atom
Total moment   0.00 μB/f.u.

abc: 5.3254 5.3254 5.2178
angles: 90.00 90.00 90.00
Last column: nearest neighbours and their distance in Å.
Fractional positions:
Ba (0.0000, 0.0000, 0.0000)  8 Cd 3.73, 4 Pb 3.77
Cd (0.0000, 0.5000, 0.5000)  2 Ru 2.66
Cd (0.5000, 0.0000, 0.5000)  2 Ru 2.66
Ru (0.5000, 0.5000, 0.5000)  2 Pb 2.61, 4 Cd 2.66
Pb (0.5000, 0.5000, 0.0000)  2 Ru 2.61

=====

# 4
A plane-wave DFT calculation with PBE was carried out for RbLaZn3 after structural relaxation.

Computed properties:
Energy relative to the lowest polymorph listed for this composition   171 kJ/mol of formula units
Energy of formation from the pure elements   807 meV/atom
Calculated total energy   -1.136 eV/atom
Total moment   0.00 μB/f.u.

abc: 5.4658 5.4658 5.4658
angles: 90.00 90.00 90.00
Last column: nearest neighbours and their distance in Å.
Fractional positions:
Rb (0.0000, 0.0000, 0.0000)  6 Zn 2.73
La (0.5000, 0.5000, 0.5000)  12 Zn 3.86
Zn (0.0000, 0.0000, 0.5000)  2 Rb 2.73
Zn (0.0000, 0.5000, 0.0000)  2 Rb 2.73
Zn (0.5000, 0.0000, 0.0000)  2 Rb 2.73

=====

> energy of formation from the pure elements of number 3 (BaCd2RuPb)?

-94 meV/atom